Here is a relaxed structure of Li2Ni4OF8 from Alexandria. Energies are from PBE with a Hubbard U.

Results
The space group is No. 9. Its density of states at the Fermi level is 0.0 states/eV per cell. Its density is 4293 kg/m3. Its raw total energy is -4.435 eV/atom. For the calculated volume, the calculation gives 322 Å³ per cell.

The structure in POSCAR format:
```
Li2Ni4OF8
1.0
2.5577 4.4809 0.0013
-2.5577 4.4809 0.0013
0.0000 0.1223 14.0624
Li Ni O F
4 8 2 16
Cartesian
2.4969 4.5884 11.8872
-2.4506 4.6425 9.0316
-2.4969 4.5273 4.8560
2.4506 4.5813 2.0004
-0.0802 6.0930 9.5776
-0.0008 6.0684 13.8958
0.0802 6.0318 2.5464
0.0008 6.0073 6.8646
-0.0449 3.0771 11.5185
-0.1266 2.9227 0.3341
0.0449 3.0160 4.4873
0.1266 2.9838 7.3653
1.4477 5.9795 1.1455
-1.4477 6.0406 8.1767
0.9901 4.5078 3.5545
0.8763 4.6627 8.2124
-0.9901 4.5690 10.5857
-0.8763 4.6015 1.1812
-1.6838 5.9288 3.5711
0.7583 1.7155 12.8860
0.8740 7.4298 8.2310
1.6838 5.9900 10.6023
-0.7583 1.6544 5.8548
-0.8740 7.3687 1.1998
1.7152 3.1866 10.5950
1.6391 3.0407 5.8223
0.7106 4.4140 12.9106
-1.6391 3.1018 12.8535
-1.7152 3.1254 3.5638
-0.7106 4.3529 5.8794
```